# 1
Computed, not measured: a geometry-optimized HIrOs structure at the PBE level of DFT.

Summary:
The size of the total moment is 0.0 μB/cell. The calculation puts the density at 17.61 g/cm3. The value obtained for the energy relative to the lowest polymorph listed for this composition is 258.8 meV per atom.

Unit cell a=4.632 b=4.447 c=7.022 alpha=90.00 beta=90.00 gamma=90.00
Element x y z (fractional)
1 H 0.058 0.250 0.215
2 H 0.442 0.750 0.715
3 H 0.558 0.250 0.285
4 H 0.942 0.750 0.785
5 Ir 0.171 0.750 0.544
6 Ir 0.329 0.250 0.044
7 Ir 0.671 0.750 0.956
8 Ir 0.829 0.250 0.456
9 Os 0.149 0.750 0.179
10 Os 0.351 0.250 0.679
11 Os 0.649 0.750 0.321
12 Os 0.851 0.250 0.821

=====

# 2
Computed, not measured: a geometry-optimized PuGe4Rh2 structure at the PBE level of DFT.

Summary:
As for the formation enthalpy at 0 K: -3.74 eV per formula unit. The size of the total moment is 20.4 μB/cell. The calculation puts the density at 10.02 g/cm3.

Unit cell a=17.389 b=4.249 c=6.640 alpha=90.00 beta=90.00 gamma=90.00
Element x y z (fractional)
1 Pu 0.142 0.250 0.002
2 Pu 0.358 0.750 0.502
3 Pu 0.642 0.250 0.498
4 Pu 0.858 0.750 0.998
5 Ge 0.034 0.750 0.135
6 Ge 0.067 0.250 0.532
7 Ge 0.183 0.750 0.706
8 Ge 0.193 0.750 0.283
9 Ge 0.307 0.250 0.783
10 Ge 0.317 0.250 0.206
11 Ge 0.433 0.750 0.032
12 Ge 0.466 0.250 0.635
13 Ge 0.534 0.750 0.365
14 Ge 0.567 0.250 0.968
15 Ge 0.683 0.750 0.794
16 Ge 0.693 0.750 0.217
17 Ge 0.807 0.250 0.717
18 Ge 0.817 0.250 0.294
19 Ge 0.933 0.750 0.468
20 Ge 0.966 0.250 0.865
21 Rh 0.032 0.750 0.745
22 Rh 0.209 0.250 0.491
23 Rh 0.291 0.750 0.991
24 Rh 0.468 0.250 0.245
25 Rh 0.532 0.750 0.755
26 Rh 0.709 0.250 0.009
27 Rh 0.791 0.750 0.509
28 Rh 0.968 0.250 0.255

=====

# 3
Computed, not measured: a geometry-optimized Rb2CeSc3O8 structure at the PBE level of DFT.

Summary:
The energy relative to the elements, uncorrected is -2833 meV/atom. The size of the total moment is 1.1 μB/cell. The calculation puts the density at 3.73 g/cm3.

Unit cell a=7.754 b=7.754 c=7.754 alpha=50.46 beta=50.46 gamma=50.46
Element x y z (fractional)
1 Rb 0.000 0.000 0.000
2 Rb 0.343 0.343 0.343
3 Ce 0.517 0.517 0.517
4 Sc 0.505 0.993 0.993
5 Sc 0.993 0.505 0.993
6 Sc 0.993 0.993 0.505
7 O 0.196 0.734 0.734
8 O 0.213 0.213 0.213
9 O 0.285 0.285 0.786
10 O 0.285 0.786 0.285
11 O 0.734 0.196 0.734
12 O 0.734 0.734 0.196
13 O 0.782 0.782 0.782
14 O 0.786 0.285 0.285